A plane-wave DFT calculation with PBE was carried out for a relaxed LaInBi2Au crystal.

It has space group P4/mmm (No. 123), with a = 6.186 Å, b = 6.186 Å, c = 5.711 Å, α = 90.00°, β = 90.00° and γ = 90.00°. The distinct sites, in fractional coordinates, are La at (0.000, 0.000, 0.000), In at (0.500, 0.500, 0.500), Bi at (0.000, 0.500, 0.000) and Au at (0.000, 0.000, 0.500).

For the total energy, the calculation gives -17.06 eV per cell. The calculation puts the density at 6.6 g cm⁻³. The formation energy comes out at 0.33 eV/atom.